[1]
HoErTl3 (PBE, relaxed); N(E_F) = 6.8 states/eV/cell; energy of formation from the pure elements = 0.009 eV/atom
1.0
-5.781 1.217 -2.316
-0.859 -7.166 -1.621
-2.103 2.583 6.605
Tl Ho Er
6 2 2
Cartesian
-2.552 -4.920 -0.562
-6.191 1.554 3.229
-2.206 -2.038 0.089
-5.345 0.516 0.573
-6.537 -1.328 2.578
-3.398 -3.883 2.095
-5.610 -3.002 -0.615
-3.133 -0.364 3.282
-2.890 0.609 -1.158
0.000 0.000 0.000

[2]
Ho2ErTl2 (PBE, relaxed); ΔE to the lowest computed polymorph = 0.006 eV per atom; N(E_F) = 9.5 states/eV/cell; energy of formation from the pure elements = -0.268 eV/atom
1.0
3.707 0.000 -0.498
0.000 5.349 0.000
-0.007 0.000 14.060
Er Tl Ho
2 4 4
Cartesian
3.148 4.012 9.408
0.551 1.337 4.154
1.661 4.012 12.436
2.384 4.012 3.750
1.316 1.337 9.812
2.039 1.337 1.125
3.519 1.337 12.209
0.880 4.012 6.574
0.180 4.012 1.352
2.820 1.337 6.988

[3]
Ho5Er5Tl (PBE, relaxed); N(E_F) = 20.0 states/eV/cell; energy of formation from the pure elements = 0.332 eV/atom
1.0
6.050 0.000 0.000
-3.025 5.239 0.000
0.000 0.000 11.144
Ho Er Tl
5 5 1
Cartesian
3.025 1.746 2.107
0.000 3.493 3.278
3.025 1.746 9.036
0.000 3.493 7.866
0.000 0.000 0.000
0.000 0.000 8.159
4.514 0.887 5.572
1.536 0.887 5.572
0.000 0.000 2.985
3.025 3.466 5.572
0.000 3.493 0.000

no.,ρ (g/cm3)
1,10.45
2,10.79
3,8.77